Computed, not measured: a geometry-optimized AgAuSe structure at the PBE level of DFT.

The calculation puts the total magnetization at 0.000 Bohr magnetons per cell. For the uncorrected formation energy, the calculation gives -0.2 eV per formula unit. As for the density of states at the Fermi level: 0.373 states/eV/f.u.

The space group is C2/m (No. 12) and the conventional cell measures 7.8469, 6.7634 and 5.5026 Å, with angles of 90.00, 101.27 and 90.00 degrees. The inequivalent atoms are Ag at (0.0531, 0.0000, 0.2671), Au at (0.2500, 0.2500, 0.0000) and Se at (0.2028, 0.5000, 0.3109).